Dy2HoPu3S6 (PBE, optimized geometry); uncorrected formation energy = -1908 meV per atom
1.0
8.5721 -1.9571 0.0000
8.5721 1.9571 0.0000
-1.8674 0.0000 7.6529
Dy Ho Pu S
2 1 3 6
Cartesian
2.2350 0.0000 2.5521
13.0419 0.0000 5.1008
8.5721 0.0000 0.0000
1.3046 0.0000 6.3777
7.6384 0.0000 3.8264
13.9722 0.0000 1.2751
-0.4484 0.0000 1.8862
4.9198 0.0000 3.2044
4.0292 0.0000 7.0008
11.2476 0.0000 0.6521
10.3571 0.0000 4.4485
15.7253 0.0000 5.7667

***

Dy3HoPu2S6 (PBE, optimized geometry); uncorrected formation energy = -1941 meV per atom
1.0
3.3855 -5.8665 0.0000
3.3855 5.8665 0.0000
-2.2540 0.0000 6.4227
Dy Ho Pu S
3 1 2 6
Cartesian
0.0000 0.0000 0.0000
3.3855 1.9640 0.0000
3.3855 -1.9640 0.0000
2.2585 0.0000 3.2114
2.2585 3.9130 3.2114
2.2585 -3.9130 3.2114
1.1373 1.9418 1.5963
0.0190 0.0000 4.8371
1.1373 -1.9418 1.5963
3.3796 1.9418 4.8264
4.4980 0.0000 1.5856
3.3796 -1.9418 4.8264

***

Dy3Ho4PuS8 (PBE, optimized geometry); uncorrected formation energy = -1970 meV per atom
1.0
3.8994 2.2513 6.3687
-3.8994 2.2513 6.3687
0.0000 -4.5026 6.3687
Dy Ho Pu S
3 4 1 8
Cartesian
-1.9497 -1.1256 6.3687
-1.9497 1.1256 12.7375
0.0000 2.2513 6.3687
-3.8994 0.0000 9.5531
-1.9497 1.1256 3.1844
1.9497 1.1256 3.1844
0.0000 0.0000 9.5531
0.0000 0.0000 0.0000
0.0000 0.0000 4.7636
-1.9405 -1.1203 11.1253
0.0000 -2.2407 7.9810
-1.9405 1.1203 7.9810
1.9405 -1.1203 11.1253
0.0000 2.2406 11.1253
1.9405 1.1203 7.9809
0.0000 0.0000 14.3426

***

DyHo2PuS4 (PBE, optimized geometry); uncorrected formation energy = -1953 meV per atom
1.0
6.7705 0.0000 0.0000
0.0000 3.8921 0.0000
-2.2292 0.0000 6.3958
Dy Ho Pu S
1 2 1 4
Cartesian
0.0000 0.0000 0.0000
-1.1146 1.9460 3.1979
2.2707 0.0000 3.1979
3.3853 1.9460 0.0000
0.0092 0.0000 4.7688
1.1230 1.9460 1.6199
3.4183 1.9460 4.7759
4.5322 0.0000 1.6270

***

DyHo2PuSb4 (PBE, optimized geometry); uncorrected formation energy = -982 meV per atom
1.0
7.5985 0.0000 0.0000
0.0000 4.3933 0.0000
-2.5314 0.0000 7.1651
Dy Ho Pu Sb
1 2 1 4
Cartesian
0.0000 0.0000 0.0000
2.5336 0.0000 3.5825
3.7992 2.1966 0.0000
-1.2657 2.1966 3.5825
0.0139 0.0000 5.3836
1.2789 2.1966 1.7904
5.0532 0.0000 1.7814
3.7882 2.1966 5.3747

***

DyHoPuSc (PBE, optimized geometry); energy of formation from the pure elements = 179.6 meV per atom
1.0
0.0000 3.8517 3.8517
3.8517 0.0000 3.8517
3.8517 3.8517 0.0000
Dy Ho Pu Sc
1 1 1 1
Cartesian
0.0000 0.0000 0.0000
5.7776 5.7776 5.7776
3.8517 3.8517 3.8517
1.9259 1.9259 1.9259

***

Dy3Ho4PuSe8 (PBE, optimized geometry); uncorrected formation energy = -1721 meV per atom
1.0
4.0722 2.3511 6.6514
-4.0722 2.3511 6.6514
0.0000 -4.7021 6.6514
Dy Ho Pu Se
3 4 1 8
Cartesian
-2.0361 -1.1755 6.6514
-2.0361 1.1755 13.3027
0.0000 2.3511 6.6514
-4.0722 0.0000 9.9770
-2.0361 1.1755 3.3257
2.0361 1.1755 3.3257
0.0000 0.0000 9.9770
0.0000 0.0000 0.0000
0.0000 0.0000 4.9761
-2.0227 -1.1678 11.6171
0.0000 -2.3356 8.3370
-2.0227 1.1678 8.3370
2.0227 -1.1678 11.6171
0.0000 2.3356 11.6171
2.0227 1.1678 8.3370
0.0000 0.0000 14.9780

***

Dy3Ho3PuSe8 (PBE, optimized geometry); uncorrected formation energy = -1772 meV per atom
1.0
4.0589 2.3434 6.6311
-4.0589 2.3434 6.6311
0.0000 -4.6868 6.6311
Dy Ho Pu Se
3 3 1 8
Cartesian
-2.0295 -1.1717 6.6311
-2.0295 1.1717 13.2622
0.0000 2.3434 6.6311
-4.0589 0.0000 9.9467
-2.0295 1.1717 3.3156
2.0295 1.1717 3.3156
0.0000 0.0000 9.9467
-2.0901 -1.2067 11.6422
0.0000 -2.4134 8.2511
-2.0901 1.2067 8.2511
0.0000 0.0000 4.9620
0.0000 0.0000 14.9314
2.0901 -1.2067 11.6422
0.0000 2.4134 11.6422
2.0901 1.2067 8.2511

***

Copy entry 6 word for word.
DyHoPuSc (PBE, optimized geometry); energy of formation from the pure elements = 179.6 meV per atom
1.0
0.0000 3.8517 3.8517
3.8517 0.0000 3.8517
3.8517 3.8517 0.0000
Dy Ho Pu Sc
1 1 1 1
Cartesian
0.0000 0.0000 0.0000
5.7776 5.7776 5.7776
3.8517 3.8517 3.8517
1.9259 1.9259 1.9259

***

Repeat the third record exactly.
Dy3Ho4PuS8 (PBE, optimized geometry); uncorrected formation energy = -1970 meV per atom
1.0
3.8994 2.2513 6.3687
-3.8994 2.2513 6.3687
0.0000 -4.5026 6.3687
Dy Ho Pu S
3 4 1 8
Cartesian
-1.9497 -1.1256 6.3687
-1.9497 1.1256 12.7375
0.0000 2.2513 6.3687
-3.8994 0.0000 9.5531
-1.9497 1.1256 3.1844
1.9497 1.1256 3.1844
0.0000 0.0000 9.5531
0.0000 0.0000 0.0000
0.0000 0.0000 4.7636
-1.9405 -1.1203 11.1253
0.0000 -2.2407 7.9810
-1.9405 1.1203 7.9810
1.9405 -1.1203 11.1253
0.0000 2.2406 11.1253
1.9405 1.1203 7.9809
0.0000 0.0000 14.3426